Density functional theory data (PBE) for Ga3TcN after structural relaxation.

Cell and atoms, written as POSCAR:
```
Ga3TcN
1.0
4.135 0.000 0.000
0.000 4.135 0.000
0.000 0.000 4.135
Ga Tc N
3 1 1
Direct
0.000 0.000 0.500 Ga
0.000 0.500 0.000 Ga
0.500 0.000 0.000 Ga
0.500 0.500 0.500 Tc
0.000 0.000 0.000 N
```

Summary:
As for the excess energy over the best structure of this formula in the dataset: 0.0 meV/atom. The calculation puts the density of states at the Fermi level at 0.40 states/eV/atom. The value obtained for the final energy is -4.954 eV per atom. Its calculated volume is 14.14 A^3/atom. Its space-group type is Pm-3m, No. 221. The value obtained for the spin magnetization is 0.145 μB/atom.



Density functional theory data (PBE) for BeTl2Os after structural relaxation.

Cell and atoms, written as POSCAR:
```
BeTl2Os
1.0
4.179 0.000 0.000
0.000 4.179 0.000
0.000 0.000 8.224
Be Tl Os
2 4 2
Direct
0.000 0.000 0.000 Be
0.500 0.500 0.500 Be
0.000 0.500 0.250 Tl
0.000 0.500 0.750 Tl
0.500 0.000 0.250 Tl
0.500 0.000 0.750 Tl
0.000 0.000 0.500 Os
0.500 0.500 0.000 Os
```

Summary:
As for the excess energy over the best structure of this formula in the dataset: 577.9 meV/atom. The calculation puts the density of states at the Fermi level at 0.55 states/eV/atom. The value obtained for the final energy is -3.920 eV per atom. Its calculated volume is 17.96 A^3/atom. Its space-group type is I4/mmm, No. 139. The value obtained for the formation energy is 1.00 eV/atom. The value obtained for the spin magnetization is 0.000 μB/atom.



Density functional theory data (PBE) for SrAs2CBr after structural relaxation.

Cell and atoms, written as POSCAR:
```
SrAs2CBr
1.0
4.259 0.000 0.000
0.000 4.259 0.000
0.000 0.000 6.568
Sr As C Br
1 2 1 1
Direct
0.000 0.000 0.000 Sr
0.000 0.500 0.500 As
0.500 0.000 0.500 As
0.500 0.500 0.500 C
0.500 0.500 0.000 Br
```

Summary:
As for the excess energy over the best structure of this formula in the dataset: 0.0 meV/atom. The calculation puts the density of states at the Fermi level at 0.51 states/eV/atom. The value obtained for the final energy is -4.170 eV per atom. Its calculated volume is 23.83 A^3/atom. Its space-group type is P4/mmm, No. 123. The value obtained for the spin magnetization is 0.000 μB/atom.



Density functional theory data (PBE) for Sm5ThSc3 after structural relaxation.

Cell and atoms, written as POSCAR:
```
Sm5ThSc3
1.0
7.362 -5.727 0.000
7.362 5.727 0.000
-6.287 0.000 7.366
Sm Th Sc
10 2 6
Direct
0.117 0.622 0.253 Sm
0.235 0.235 0.239 Sm
0.247 0.753 0.000 Sm
0.249 0.249 0.589 Sm
0.378 0.883 0.747 Sm
0.622 0.117 0.253 Sm
0.751 0.751 0.411 Sm
0.753 0.247 0.000 Sm
0.765 0.765 0.761 Sm
0.883 0.378 0.747 Sm
0.270 0.270 0.943 Th
0.730 0.730 0.057 Th
0.000 0.000 0.500 Sc
0.007 0.007 0.828 Sc
0.491 0.491 0.653 Sc
0.500 0.500 0.000 Sc
0.509 0.509 0.347 Sc
0.993 0.993 0.172 Sc
```

Summary:
The calculation puts the density of states at the Fermi level at 1.52 states/eV/atom. The value obtained for the final energy is -5.105 eV per atom. Its calculated volume is 34.50 A^3/atom. Its space-group type is C2/m, No. 12. The value obtained for the formation energy is 0.45 eV/atom. The value obtained for the spin magnetization is 0.000 μB/atom.



Density functional theory data (PBE) for CeY3C after structural relaxation.

Cell and atoms, written as POSCAR:
```
CeY3C
1.0
5.069 0.000 0.000
0.000 5.069 0.000
0.000 0.000 5.069
Ce Y C
1 3 1
Direct
0.000 0.000 0.000 Ce
0.000 0.500 0.500 Y
0.500 0.000 0.500 Y
0.500 0.500 0.000 Y
0.500 0.500 0.500 C
```

Summary:
The calculation puts the density of states at the Fermi level at 2.52 states/eV/atom. The value obtained for the final energy is -6.831 eV per atom. Its calculated volume is 26.06 A^3/atom. Its space-group type is Pm-3m, No. 221. The value obtained for the formation energy is 0.08 eV/atom. The value obtained for the spin magnetization is 0.380 μB/atom.



Density functional theory data (PBE) for MoPdPt2 after structural relaxation.

Cell and atoms, written as POSCAR:
```
MoPdPt2
1.0
6.315 0.000 0.000
0.000 6.315 0.000
0.000 0.000 6.315
Mo Pd Pt
4 4 8
Direct
0.000 0.000 0.000 Mo
0.000 0.500 0.500 Mo
0.500 0.000 0.500 Mo
0.500 0.500 0.000 Mo
0.000 0.000 0.500 Pd
0.000 0.500 0.000 Pd
0.500 0.000 0.000 Pd
0.500 0.500 0.500 Pd
0.250 0.250 0.250 Pt
0.250 0.250 0.750 Pt
0.250 0.750 0.250 Pt
0.250 0.750 0.750 Pt
0.750 0.250 0.250 Pt
0.750 0.250 0.750 Pt
0.750 0.750 0.250 Pt
0.750 0.750 0.750 Pt
```

Summary:
As for the excess energy over the best structure of this formula in the dataset: 81.2 meV/atom. The calculation puts the density of states at the Fermi level at 1.11 states/eV/atom. The value obtained for the final energy is -7.047 eV per atom. Its calculated volume is 15.74 A^3/atom. Its space-group type is Fm-3m, No. 225. The value obtained for the formation energy is -0.02 eV/atom. The value obtained for the spin magnetization is 0.000 μB/atom.



Look up the final energy of the second one.
-3.920 eV per atom



final energy of number 3 (SrAs2CBr)?
-4.170 eV per atom



Which formula does entry 3 have?
SrAs2CBr



The lowest calculated volume belongs to which entry?
Ga3TcN